Below is Tl2PRh after structural relaxation, with properties calculated at the PBE level.

a = 7.737 Å, b = 7.737 Å, c = 7.737 Å
α = 29.55°, β = 29.55°, γ = 29.55°
Element x y z (fractional)
1 Tl 0.000 0.000 0.000
2 Tl 0.204 0.204 0.204
3 P 0.768 0.768 0.768
4 Rh 0.435 0.435 0.435

Energy above the lowest structure with this stoichiometry, meV/atom: 0
Symmetry: No. 160
Size of the total moment, μB per formula unit: 0.0